The following is a GGA-PBE calculation of an optimized crystal structure of FeMo2Ru, from Alexandria via LeMat-Bulk.

Cell: 3.1160 3.1160 5.9669 Å, 90.00 90.00 90.00°
Closest atoms and distances in Å follow each position.
Fractional coordinates of all 4 atoms:
Fe 0.0000 0.0000 0.0000  4 Mo 2.58, 4 Ru 2.67
Mo 0.0000 0.0000 0.4953  4 Ru 2.67, 4 Mo 2.73, 1 Fe 2.96
Mo 0.5000 0.5000 0.2246  4 Fe 2.58, 4 Mo 2.73, 1 Ru 2.84
Ru 0.5000 0.5000 0.7486  4 Fe 2.67, 5 Mo 2.67-2.84

Values from the calculation:
- ΔE to the lowest computed polymorph: 39 meV/atom
- Raw total energy: -38.84 eV for the cell shown